VASP calculation (PBE-GGA) on TePd3I after structural relaxation.

Lattice parameters (Å, degrees): 5.0721 5.0721 5.0721 90.00 90.00 90.00
Closest atoms and distances in Å follow each position.
Fractional positions:
I 0.5000 0.5000 0.5000  12 Pd 3.59
Te 0.0000 0.0000 0.0000  6 Pd 2.54
Pd 0.0000 0.5000 0.0000  2 Te 2.54
Pd 0.0000 0.0000 0.5000  2 Te 2.54
Pd 0.5000 0.0000 0.0000  2 Te 2.54

Summary:
* size of the total moment: 0.0 μB/f.u.
* calculated total energy: -3.7330 eV/atom
* crystal system: cubic
* calculated density: 7.302 g/cm3
* offset from the most stable computed form: 439 meV/atom

VASP calculation (PBE-GGA) on KTl8Pb2 after structural relaxation.

Lattice parameters (Å, degrees): 5.3722 8.4552 8.4552 105.31 90.11 90.11
Closest atoms and distances in Å follow each position.
Fractional positions:
K 0.5000 0.0000 0.0000  12 Tl 3.45-3.74
Tl 0.9990 0.9627 0.6839  2 Pb 3.33-3.72, 6 Tl 3.33-3.67
Tl 0.9990 0.6839 0.9627  2 Pb 3.33-3.72, 6 Tl 3.33-3.67
Tl 0.4998 0.6641 0.6641  7 Tl 3.37-3.68, 1 K 3.45, 4 Pb 3.55-3.56
Tl 0.5000 0.2569 0.7431  2 Pb 3.16, 1 K 3.45
Tl 0.5000 0.7431 0.2569  2 Pb 3.16, 1 K 3.45
Tl 0.5002 0.3359 0.3359  7 Tl 3.37-3.68, 1 K 3.45, 4 Pb 3.55-3.56
Tl 0.0010 0.3161 0.0373  2 Pb 3.33-3.72, 6 Tl 3.33-3.67
Tl 0.0010 0.0373 0.3161  2 Pb 3.33-3.72, 6 Tl 3.33-3.67
Pb 0.0000 0.6190 0.3810  4 Tl 3.16-3.33, 1 Pb 3.20
Pb 0.0000 0.3810 0.6190  4 Tl 3.16-3.33, 1 Pb 3.20

Summary:
* size of the total moment: 0.0 μB/f.u.
* calculated total energy: -2.4655 eV/atom
* crystal system: monoclinic
* calculated density: 9.362 g/cm3
* formation enthalpy at 0 K: 29 meV per atom
* offset from the most stable computed form: 29 meV/atom

VASP calculation (PBE-GGA) on Mg4H2O3 after structural relaxation.

Lattice parameters (Å, degrees): 2.9372 5.3613 11.5209 90.00 90.00 90.00
Closest atoms and distances in Å follow each position.
Fractional positions:
Mg 0.5000 0.2191 0.9266  2 H 1.98-2.11, 4 O 2.06-2.15
Mg 0.5000 0.7809 0.0734  2 H 1.98-2.11, 4 O 2.06-2.15
Mg 0.0000 0.3171 0.1826  2 H 1.93, 3 O 2.05-2.09
Mg 0.0000 0.2809 0.4266  2 H 1.98-2.11, 4 O 2.06-2.15
Mg 0.5000 0.8171 0.3174  2 H 1.93, 3 O 2.05-2.09
Mg 0.0000 0.6829 0.8174  2 H 1.93, 3 O 2.05-2.09
Mg 0.0000 0.7191 0.5734  2 H 1.98-2.11, 4 O 2.06-2.15
Mg 0.5000 0.1829 0.6826  2 H 1.93, 3 O 2.05-2.09
H 0.0000 0.8884 0.4205  4 Mg 1.93-2.11
H 0.5000 0.3884 0.0795  4 Mg 1.93-2.11
H 0.0000 0.1116 0.5795  4 Mg 1.93-2.11
H 0.5000 0.6116 0.9205  4 Mg 1.93-2.11
O 0.0000 0.2966 0.7954  5 Mg 2.05-2.15
O 0.5000 0.7966 0.7046  5 Mg 2.05-2.15
O 0.0000 0.7034 0.2046  5 Mg 2.05-2.15
O 0.5000 0.2034 0.2954  5 Mg 2.05-2.15
O 0.0000 0.0000 0.0000  4 Mg 2.06
O 0.5000 0.5000 0.5000  4 Mg 2.06

Summary:
* size of the total moment: 0.0 μB/f.u.
* calculated total energy: -4.8135 eV/atom
* crystal system: orthorhombic
* calculated density: 2.695 g/cm3

VASP calculation (PBE-GGA) on YErTe after structural relaxation.

Lattice parameters (Å, degrees): 3.8557 3.8557 6.3686 107.62 107.62 90.00
Closest atoms and distances in Å follow each position.
Fractional positions:
Y 0.0094 0.0094 0.0187  4 Te 3.28, 5 Er 3.47-3.60
Te 0.6683 0.6683 0.3366  4 Er 3.25, 4 Y 3.28
Er 0.3223 0.3223 0.6446  4 Te 3.25, 5 Y 3.47-3.60

Summary:
* size of the total moment: 0.0 μB/f.u.
* calculated total energy: -5.5024 eV/atom
* crystal system: tetragonal
* calculated density: 7.448 g/cm3
* offset from the most stable computed form: 71 meV/atom

VASP calculation (PBE-GGA) on La2Pr5Th after structural relaxation.

Lattice parameters (Å, degrees): 5.2750 7.3720 14.7467 90.00 90.00 90.00
Closest atoms and distances in Å follow each position.
Fractional positions:
La 0.5000 0.2444 0.6216  10 Pr 3.57-3.81, 2 Th 3.66
La 0.5000 0.7556 0.3784  10 Pr 3.57-3.81, 2 Th 3.66
La 0.5000 0.2556 0.1216  10 Pr 3.57-3.81, 2 Th 3.66
La 0.5000 0.7444 0.8784  10 Pr 3.57-3.81, 2 Th 3.66
Pr 0.0000 0.0000 0.0000  2 Th 3.69, 4 La 3.70, 6 Pr 3.71-3.73
Pr 0.0000 0.5000 0.5000  2 Th 3.69, 4 La 3.70, 6 Pr 3.71-3.73
Pr 0.0000 0.5040 0.7531  1 Th 3.64, 4 La 3.68-3.79, 7 Pr 3.69-3.79
Pr 0.0000 0.4960 0.2469  1 Th 3.64, 4 La 3.68-3.79, 7 Pr 3.69-3.79
Pr 0.0000 0.9960 0.2531  1 Th 3.64, 4 La 3.68-3.79, 7 Pr 3.69-3.79
Pr 0.0000 0.0040 0.7469  1 Th 3.64, 4 La 3.68-3.79, 7 Pr 3.69-3.79
Pr 0.5000 0.2601 0.8799  4 La 3.57-3.81, 2 Th 3.64, 6 Pr 3.70-3.79
Pr 0.5000 0.7399 0.1201  4 La 3.57-3.81, 2 Th 3.64, 6 Pr 3.70-3.79
Pr 0.5000 0.2399 0.3799  4 La 3.57-3.81, 2 Th 3.64, 6 Pr 3.70-3.79
Pr 0.5000 0.7601 0.6201  4 La 3.57-3.81, 2 Th 3.64, 6 Pr 3.70-3.79
Th 0.0000 0.0000 0.5000  8 Pr 3.64-3.69, 4 La 3.66
Th 0.0000 0.5000 0.0000  8 Pr 3.64-3.69, 4 La 3.66

Summary:
* size of the total moment: 0.0 μB/f.u.
* calculated total energy: -5.1147 eV/atom
* crystal system: orthorhombic
* calculated density: 7.033 g/cm3
* formation enthalpy at 0 K: 32 meV per atom

VASP calculation (PBE-GGA) on Ba9In3N2 after structural relaxation.

Lattice parameters (Å, degrees): 7.9651 7.9651 20.1849 90.00 90.00 120.00
Closest atoms and distances in Å follow each position.
Fractional positions:
Ba 0.4913 0.9827 0.7500  2 N 2.82
Ba 0.0173 0.5087 0.7500  2 N 2.82
Ba 0.4913 0.5087 0.7500  2 N 2.82
Ba 0.5087 0.0173 0.2500  2 N 2.82
Ba 0.9827 0.4913 0.2500  2 N 2.82
Ba 0.5087 0.4913 0.2500  2 N 2.82
Ba 0.1739 0.3479 0.9104  1 N 2.64
Ba 0.6521 0.8261 0.9104  1 N 2.64
Ba 0.1739 0.8261 0.9104  1 N 2.64
Ba 0.8261 0.6521 0.0896  1 N 2.64
Ba 0.3479 0.1739 0.0896  1 N 2.64
Ba 0.8261 0.1739 0.0896  1 N 2.64
Ba 0.8261 0.6521 0.4104  1 N 2.64
Ba 0.3479 0.1739 0.4104  1 N 2.64
Ba 0.8261 0.1739 0.4104  1 N 2.64
Ba 0.1739 0.3479 0.5896  1 N 2.64
Ba 0.6521 0.8261 0.5896  1 N 2.64
Ba 0.1739 0.8261 0.5896  1 N 2.64
In 0.0000 0.0000 0.7500  12 Ba 3.98-4.03
In 0.0000 0.0000 0.2500  12 Ba 3.98-4.03
In 0.6667 0.3333 0.9268  12 Ba 3.95-4.31
In 0.3333 0.6667 0.0732  12 Ba 3.95-4.31
In 0.3333 0.6667 0.4268  12 Ba 3.95-4.31
In 0.6667 0.3333 0.5732  12 Ba 3.95-4.31
N 0.6667 0.3333 0.1618  6 Ba 2.64-2.82
N 0.3333 0.6667 0.8382  6 Ba 2.64-2.82
N 0.3333 0.6667 0.6618  6 Ba 2.64-2.82
N 0.6667 0.3333 0.3382  6 Ba 2.64-2.82

Summary:
* size of the total moment: 0.3 μB/f.u.
* calculated total energy: -3.3757 eV/atom
* crystal system: hexagonal
* calculated density: 4.817 g/cm3